Ga2PS | Alexandria via LeMat-Bulk | PBE | optimized geometry; mass density = 4.87 g cm⁻³; formation energy from raw total energies = 0.2314 eV/atom; excess energy over the best structure of this formula in the dataset = 1.916 eV/f.u.; volume = 17.25 Å³ per atom; electronic total energy = -0.26947 Ry/atom; N(E_F) = 3.37 states/eV/f.u.
1.0
0.0000 3.2552 3.2552
3.2552 0.0000 3.2552
3.2552 3.2552 0.0000
P S Ga
1 1 2
Direct
0.0000 0.0000 0.0000
0.5000 0.5000 0.5000
0.2500 0.2500 0.2500
0.7500 0.7500 0.7500